Below is an optimized crystal structure of Tb5In4Pt, with properties calculated at the PBE level. Values from VASP.

Output
- DFT formation energy: -0.63 eV/atom

Structure (Quantum ESPRESSO input):
```
&SYSTEM
  ibrav = 0, nat = 10, ntyp = 3
/
ATOMIC_SPECIES
Pt 195.08 Pt.upf
Tb 158.93 Tb.upf
In 114.82 In.upf
CELL_PARAMETERS angstrom
3.553 0.000 0.000
0.000 3.553 0.000
0.000 0.000 20.462
ATOMIC_POSITIONS angstrom
Pt 0.000 0.000 0.000
Tb 1.777 1.777 1.688
Tb 1.777 1.777 10.231
Tb 1.777 1.777 14.483
Tb 1.777 1.777 18.773
Tb 1.777 1.777 5.978
In 0.000 0.000 3.874
In 0.000 0.000 16.588
In 0.000 0.000 8.108
In 0.000 0.000 12.354
```